No. 1
Entry from the Alexandria database: crystalline AcMgCl2 at its relaxed geometry (GGA-PBE).

Summary:
Uncorrected energy in eV/atom: -3.4570
ΔE_f (raw) in eV/atom: -1.11
Size of the total moment in μB per cell: 0.001

Lattice parameters (Å, degrees): 3.7433 3.7433 28.3591 90.00 90.00 120.00
Space group R-3m (No. 166, hexagonal axes)
Symmetry-distinct sites (fractional):
1 Ac 0.0000 0.0000 0.0000
2 Mg 0.0000 0.0000 0.5000
3 Cl 0.0000 0.0000 0.1186

=====

No. 2
Entry from the Alexandria database: crystalline AcMgCl at its relaxed geometry (GGA-PBE).

Summary:
Uncorrected energy in eV/atom: -3.2657
ΔE_f (raw) in eV/atom: -0.75
Size of the total moment in μB per cell: 0.002

Lattice parameters (Å, degrees): 15.508 3.912 6.758 90.00 90.00 90.00
Space group Amm2 (No. 38)
Symmetry-distinct sites (fractional):
1 Ac 0.182 0.000 0.000
2 Mg 0.000 0.000 0.336
3 Mg 0.500 0.000 0.652
4 Cl 0.321 0.000 0.666

=====

No. 3
Entry from the Alexandria database: crystalline NaAcMgCl6 at its relaxed geometry (GGA-PBE).

Summary:
Uncorrected energy in eV/atom: -4.0779
ΔE_f (raw) in eV/atom: -2.07
Size of the total moment in μB per cell: 0.000

Lattice parameters (Å, degrees): 7.0245 7.0245 12.2653 90.00 90.00 120.00
Space group P-31c (No. 163)
Symmetry-distinct sites (fractional):
1 Na 0.0000 0.0000 0.0000
2 Ac 0.3333 0.6667 0.2500
3 Mg 0.3333 0.6667 0.7500
4 Cl 0.0387 0.3693 0.6306

=====

No. 4
Entry from the Alexandria database: crystalline AcMgClO2 at its relaxed geometry (GGA-PBE).

Summary:
Uncorrected energy in eV/atom: -6.2153
ΔE_f (raw) in eV/atom: -2.72
Size of the total moment in μB per cell: 0.000

Lattice parameters (Å, degrees): 3.956 12.267 7.145 90.00 90.00 90.00
Space group Cmcm (No. 63)
Symmetry-distinct sites (fractional):
1 Ac 0.000 0.223 0.250
2 Mg 0.000 0.500 0.000
3 Cl 0.000 0.035 0.750
4 O 0.000 0.344 0.541

=====

No. 5
Entry from the Alexandria database: crystalline AcMgTlCl6 at its relaxed geometry (GGA-PBE).

Summary:
Uncorrected energy in eV/atom: -4.0399
ΔE_f (raw) in eV/atom: -1.91
Size of the total moment in μB per cell: 0.000

Lattice parameters (Å, degrees): 7.1658 7.1658 13.6899 90.00 90.00 120.00
Space group P-31c (No. 163)
Symmetry-distinct sites (fractional):
1 Ac 0.3333 0.6667 0.2500
2 Mg 0.3333 0.6667 0.7500
3 Tl 0.0000 0.0000 0.0000
4 Cl 0.0368 0.3869 0.6414

=====

No. 6
Entry from the Alexandria database: crystalline AcMnCl5 at its relaxed geometry (GGA-PBE).

Summary:
Uncorrected energy in eV/atom: -5.0236
ΔE_f (raw) in eV/atom: -1.81
Size of the total moment in μB per cell: 20.000

Lattice parameters (Å, degrees): 11.625 8.454 9.731 90.00 114.70 90.00
Space group C2/c (No. 15)
Symmetry-distinct sites (fractional):
1 Ac 0.000 0.064 0.250
2 Mn 0.000 0.500 0.000
3 Cl 0.000 0.416 0.250
4 Cl 0.020 0.196 0.969
5 Cl 0.233 0.469 0.623

=====

Q: Which of these has the highest ΔE_f (raw)?
A: AcMgCl